Entry a
The following is a PBE calculation of crystalline PaTiSb2 at its relaxed geometry, from Alexandria via LeMat-Bulk.

N(E_F) = 0.762 states/eV/atom

Cell: 5.087 5.087 5.087 Å, 60.00 60.00 60.00°
Element x y z (fractional)
Pa  0.000  0.000  0.000
Ti  0.500  0.500  0.500
Sb  0.250  0.250  0.250
Sb  0.750  0.750  0.750



Entry b
The following is a PBE calculation of crystalline PaTiSb2 at its relaxed geometry, from Alexandria via LeMat-Bulk.

N(E_F) = 1.122 states/eV/atom

Cell: 7.185 4.171 13.476 Å, 90.00 90.00 90.00°
Element x y z (fractional)
Pa  0.143  0.250  0.147
Pa  0.357  0.750  0.647
Pa  0.643  0.250  0.353
Pa  0.857  0.750  0.853
Ti  0.059  0.750  0.414
Ti  0.441  0.250  0.914
Ti  0.559  0.750  0.086
Ti  0.941  0.250  0.586
Sb  0.136  0.250  0.769
Sb  0.224  0.750  0.985
Sb  0.276  0.250  0.485
Sb  0.364  0.750  0.269
Sb  0.636  0.250  0.731
Sb  0.724  0.750  0.515
Sb  0.776  0.250  0.015
Sb  0.864  0.750  0.231



The structure with the least stability is entry a.



Entry a
The following is a PBE calculation of crystalline PaTlSb2 at its relaxed geometry, from Alexandria via LeMat-Bulk.

N(E_F) = 0.917 states/eV/atom

Cell: 4.996 4.996 4.171 Å, 90.00 90.00 90.00°
Element x y z (fractional)
Pa  0.000  0.000  0.000
Tl  0.500  0.500  0.000
Sb  0.000  0.500  0.500
Sb  0.500  0.000  0.500



Entry b
The following is a PBE calculation of crystalline PaTlSb2 at its relaxed geometry, from Alexandria via LeMat-Bulk.

N(E_F) = 1.069 states/eV/atom

Cell: 4.052 4.052 6.702 Å, 90.00 90.00 90.00°
Element x y z (fractional)
Pa  0.000  0.000  0.000
Tl  0.000  0.000  0.500
Sb  0.500  0.500  0.225
Sb  0.500  0.500  0.775



Entry c
The following is a PBE calculation of crystalline PaTlSb2 at its relaxed geometry, from Alexandria via LeMat-Bulk.

Cell: 8.464 8.464 8.464 Å, 30.32 30.32 30.32°
Element x y z (fractional)
Pa  0.000  0.000  0.000
Tl  0.500  0.500  0.500
Sb  0.263  0.263  0.263
Sb  0.737  0.737  0.737



The structure with the least stability is entry c.



Entry a
The following is a PBE calculation of crystalline Pa2TlSb at its relaxed geometry, from Alexandria via LeMat-Bulk.

N(E_F) = 1.963 states/eV/atom

Cell: 3.569 3.569 8.260 Å, 90.00 90.00 90.00°
Element x y z (fractional)
Pa  0.000  0.000  0.232
Pa  0.000  0.000  0.768
Tl  0.500  0.500  0.500
Sb  0.500  0.500  0.000



Entry b
The following is a PBE calculation of crystalline Pa2TlSb at its relaxed geometry, from Alexandria via LeMat-Bulk.

N(E_F) = 2.223 states/eV/atom

Cell: 4.861 4.861 4.423 Å, 90.00 90.00 90.00°
Element x y z (fractional)
Pa  0.000  0.500  0.000
Pa  0.500  0.000  0.000
Tl  0.000  0.000  0.500
Sb  0.500  0.500  0.500



Entry c
The following is a PBE calculation of crystalline Pa2TlSb at its relaxed geometry, from Alexandria via LeMat-Bulk.

N(E_F) = 1.717 states/eV/atom

Cell: 7.541 7.541 7.541 Å, 33.96 33.96 33.96°
Element x y z (fractional)
Pa  0.250  0.250  0.250
Pa  0.750  0.750  0.750
Tl  0.500  0.500  0.500
Sb  0.000  0.000  0.000



The structure with the least stability is entry c.



Entry a
The following is a PBE calculation of crystalline PaTlSb at its relaxed geometry, from Alexandria via LeMat-Bulk.

N(E_F) = 1.674 states/eV/atom

Cell: 6.062 6.062 6.062 Å, 142.83 142.83 53.57°
Element x y z (fractional)
Pa  0.000  0.000  0.000
Tl  0.687  0.687  0.000
Sb  0.352  0.352  0.000



Entry b
The following is a PBE calculation of crystalline PaTlSb at its relaxed geometry, from Alexandria via LeMat-Bulk.

N(E_F) = 1.691 states/eV/atom

Cell: 5.388 5.388 3.178 Å, 90.00 90.00 120.00°
Element x y z (fractional)
Pa  0.000  0.000  0.000
Tl  0.667  0.333  0.500
Sb  0.333  0.667  0.500



The structure with the least stability is entry b.



Entry a
The following is a PBE calculation of crystalline TmPaSb2 at its relaxed geometry, from Alexandria via LeMat-Bulk.

N(E_F) = 1.462 states/eV/atom

Cell: 9.733 9.733 7.525 Å, 104.91 104.91 126.85°
Element x y z (fractional)
Tm  0.064  0.936  0.750
Tm  0.188  0.812  0.250
Tm  0.812  0.188  0.750
Tm  0.936  0.064  0.250
Pa  0.314  0.686  0.750
Pa  0.439  0.561  0.250
Pa  0.561  0.439  0.750
Pa  0.686  0.314  0.250
Sb  0.060  0.436  0.247
Sb  0.180  0.305  0.747
Sb  0.305  0.180  0.247
Sb  0.436  0.060  0.747
Sb  0.564  0.940  0.253
Sb  0.695  0.820  0.753
Sb  0.820  0.695  0.253
Sb  0.940  0.564  0.753



Entry b
The following is a PBE calculation of crystalline TmPaSb2 at its relaxed geometry, from Alexandria via LeMat-Bulk.

N(E_F) = 1.508 states/eV/atom

Cell: 7.859 7.859 7.859 Å, 31.60 31.60 31.60°
Element x y z (fractional)
Tm  0.000  0.000  0.000
Pa  0.173  0.173  0.173
Sb  0.588  0.588  0.588
Sb  0.754  0.754  0.754



The structure with the least stability is entry b.



Entry a
The following is a PBE calculation of crystalline TmPaSb2 at its relaxed geometry, from Alexandria via LeMat-Bulk.

N(E_F) = 1.491 states/eV/atom

Cell: 7.579 7.579 7.579 Å, 33.31 33.31 33.31°
Element x y z (fractional)
Tm  0.000  0.000  0.000
Pa  0.500  0.500  0.500
Sb  0.252  0.252  0.252
Sb  0.748  0.748  0.748



Entry b
The following is a PBE calculation of crystalline TmPaSb2 at its relaxed geometry, from Alexandria via LeMat-Bulk.

N(E_F) = 1.274 states/eV/atom

Cell: 5.241 5.241 3.796 Å, 90.00 90.00 90.00°
Element x y z (fractional)
Tm  0.000  0.000  0.000
Pa  0.500  0.500  0.000
Sb  0.000  0.500  0.500
Sb  0.500  0.000  0.500



The structure with the least stability is entry b.